An optimized crystal structure of Pm4BCBr2. Source: Alexandria, functional PBE.

Values from the calculation:
Formation energy (no corrections) in meV per atom: -822

Cell lengths 6.735, 3.891, 7.670 Å; angles 90.00, 107.16, 90.00 degrees
Space group P2/m (No. 10)
One atom of each set of equivalent atoms:
Pm1 0.223 0.000 0.185 (multiplicity 2)
Pm2 0.264 0.500 0.810 (multiplicity 2)
B1 0.500 0.000 0.000 (multiplicity 1)
C1 0.000 0.500 0.000 (multiplicity 1)
Br1 0.000 0.000 0.500 (multiplicity 1)
Br2 0.500 0.500 0.500 (multiplicity 1)